--- i ---
# ZnW2Br (PBE, optimized geometry)
# DOS at the Fermi energy	0.6351	states/eV/atom
data_ZnW2Br
_chemical_formula_sum 'Zn1 W2 Br1'
_cell_length_a 2.913
_cell_length_b 4.439
_cell_length_c 5.406
_cell_angle_alpha 90.00
_cell_angle_beta 99.73
_cell_angle_gamma 90.00
_space_group_name_H-M_alt 'P 1 m 1'
_space_group_IT_number 6
_space_group_name_Hall 'P -2y'
loop_
_atom_site_label
_atom_site_fract_x
_atom_site_fract_y
_atom_site_fract_z
Zn1 0.000 0.000 0.000
W1 0.385 0.500 0.742
W2 0.635 0.000 0.519
Br1 0.578 0.500 0.224

---

--- ii ---
# ZnW2Br (PBE, optimized geometry)
# DOS at the Fermi energy	0.8854	states/eV/atom
data_ZnW2Br
_chemical_formula_sum 'Zn3 W6 Br3'
_cell_length_a 2.9371
_cell_length_b 2.9371
_cell_length_c 26.5556
_cell_angle_alpha 90.00
_cell_angle_beta 90.00
_cell_angle_gamma 120.00
_space_group_name_H-M_alt 'R -3 m'
_space_group_IT_number 166
_space_group_name_Hall '-R 3 2"'
loop_
_atom_site_label
_atom_site_fract_x
_atom_site_fract_y
_atom_site_fract_z
Zn1 0.0000 0.0000 0.0000
W1 0.0000 0.0000 0.2502
Br1 0.0000 0.0000 0.5000

---

Least stable = ii